(1)
Here is crystalline La2Tb7Sm3 at its relaxed geometry from Alexandria. Energies are from PBE.

Values from the calculation:
total moment = 0.000 μB per cell
mass density = 7.6 g/cm³
distance to the lowest polymorph of the same formula = 7 meV per atom
DOS(E_F) = 1.235 states/eV per atom

abc: 5.8903 3.6117 19.0444
angles: 90.00 93.23 90.00
Sites, in units of the cell vectors:
La  0.2075  0.0000  0.2934
La  0.7925  0.0000  0.7066
Tb  0.1862  0.5000  0.1411
Tb  0.2426  0.0000  0.4624
Tb  0.3126  0.0000  0.8288
Tb  0.5000  0.5000  0.0000
Tb  0.6874  0.0000  0.1712
Tb  0.7574  0.0000  0.5376
Tb  0.8138  0.5000  0.8589
Sm  0.0000  0.0000  0.0000
Sm  0.2791  0.5000  0.6295
Sm  0.7209  0.5000  0.3705

=====

(2)
Here is crystalline La3Tb4Sm4 at its relaxed geometry from Alexandria. Energies are from PBE.

Values from the calculation:
total moment = 0.000 μB per cell
mass density = 7.2 g/cm³
distance to the lowest polymorph of the same formula = 0 meV per atom
DOS(E_F) = 1.721 states/eV per atom

abc: 10.8279 6.7560 6.7560
angles: 50.91 90.00 90.00
Sites, in units of the cell vectors:
La  0.0000  0.0000  0.0000
La  0.2905  0.1562  0.1562
La  0.7095  0.1562  0.1562
Tb  0.0000  0.3027  0.3027
Tb  0.3029  0.8527  0.8527
Tb  0.5000  0.3611  0.3611
Tb  0.6971  0.8527  0.8527
Sm  0.0000  0.7027  0.7027
Sm  0.2152  0.4950  0.4950
Sm  0.5000  0.6324  0.6324
Sm  0.7848  0.4950  0.4950

=====

(3)
Here is crystalline LaTb4Sm2 at its relaxed geometry from Alexandria. Energies are from PBE.

Values from the calculation:
total moment = 0.000 μB per cell
mass density = 7.6 g/cm³
distance to the lowest polymorph of the same formula = 0 meV per atom
DOS(E_F) = 1.520 states/eV per atom

abc: 7.1368 8.6993 8.9437
angles: 114.36 101.53 101.85
Sites, in units of the cell vectors:
La  0.0000  0.0000  0.0000
La  0.3023  0.6671  0.5474
Tb  0.0255  0.8255  0.2763
Tb  0.1046  0.5535  0.8684
Tb  0.3862  0.4029  0.1342
Tb  0.4137  0.2300  0.4120
Tb  0.4989  0.9986  0.9973
Tb  0.6064  0.5542  0.8654
Tb  0.7038  0.1178  0.7012
Tb  0.9090  0.2326  0.4135
Sm  0.2090  0.1257  0.7041
Sm  0.5251  0.8241  0.2705
Sm  0.8033  0.6686  0.5416
Sm  0.8800  0.4012  0.1303

=====

(4)
Here is crystalline La7Tb2Sm at its relaxed geometry from Alexandria. Energies are from PBE.

Values from the calculation:
total moment = 0.012 μB per cell
mass density = 5.6 g/cm³
distance to the lowest polymorph of the same formula = 264 meV per atom
DOS(E_F) = 1.848 states/eV per atom

abc: 9.3251 9.3251 5.7800
angles: 90.00 90.00 122.18
Sites, in units of the cell vectors:
La  0.0000  0.0000  0.0000
La  0.2025  0.4322  0.0000
La  0.2635  0.7365  0.5000
La  0.4322  0.2025  0.0000
La  0.5678  0.7975  0.0000
La  0.7365  0.2635  0.5000
La  0.7975  0.5678  0.0000
Tb  0.2037  0.7963  0.0000
Tb  0.7963  0.2037  0.0000
Sm  0.5000  0.5000  0.5000

=====

(5)
Here is crystalline La2TbSm4 at its relaxed geometry from Alexandria. Energies are from PBE.

Values from the calculation:
total moment = 0.000 μB per cell
mass density = 7.2 g/cm³
distance to the lowest polymorph of the same formula = 77 meV per atom
DOS(E_F) = 1.638 states/eV per atom

abc: 6.2745 6.6969 11.8268
angles: 90.00 104.23 90.00
Sites, in units of the cell vectors:
La  0.1045  0.2500  0.4958
La  0.2045  0.2500  0.0666
La  0.7955  0.7500  0.9334
La  0.8955  0.7500  0.5042
Tb  0.3528  0.7500  0.3429
Tb  0.6472  0.2500  0.6571
Sm  0.1475  0.0062  0.7853
Sm  0.1475  0.4938  0.7853
Sm  0.3579  0.7500  0.0553
Sm  0.4851  0.7500  0.6486
Sm  0.5149  0.2500  0.3514
Sm  0.6421  0.2500  0.9447
Sm  0.8525  0.5062  0.2147
Sm  0.8525  0.9938  0.2147

=====

(6)
Here is crystalline La4Tb2Sm3 at its relaxed geometry from Alexandria. Energies are from PBE.

Values from the calculation:
total moment = 0.000 μB per cell
mass density = 7.0 g/cm³
distance to the lowest polymorph of the same formula = 0 meV per atom
DOS(E_F) = 1.779 states/eV per atom

abc: 8.2016 8.2016 8.1594
angles: 107.38 107.38 37.03
Sites, in units of the cell vectors:
La  0.0546  0.0546  0.3305
La  0.2767  0.2767  0.6689
La  0.7233  0.7233  0.3311
La  0.9454  0.9454  0.6695
Tb  0.1675  0.1675  0.9996
Tb  0.8325  0.8325  0.0004
Sm  0.3880  0.3880  0.3296
Sm  0.5000  0.5000  0.0000
Sm  0.6120  0.6120  0.6704

=====

(7)
Here is crystalline La5Tb2Sm2 at its relaxed geometry from Alexandria. Energies are from PBE.

Values from the calculation:
total moment = 0.000 μB per cell
mass density = 7.0 g/cm³
distance to the lowest polymorph of the same formula = 164 meV per atom
DOS(E_F) = 1.330 states/eV per atom

abc: 10.2054 10.2054 10.2054
angles: 84.80 108.98 139.94
Sites, in units of the cell vectors:
La  0.0670  0.4852  0.8709
La  0.0670  0.6962  0.0819
La  0.0710  0.0753  0.4957
La  0.2295  0.0511  0.2805
La  0.2295  0.4489  0.6784
La  0.5796  0.5753  0.5043
La  0.6143  0.1962  0.1291
La  0.6143  0.9852  0.9181
La  0.7705  0.5511  0.3216
La  0.7705  0.9489  0.7195
Tb  0.1702  0.3062  0.1224
Tb  0.1702  0.5479  0.3641
Tb  0.1838  0.0479  0.8776
Tb  0.1838  0.8062  0.6359
Sm  0.6150  0.8696  0.2454
Sm  0.6243  0.3696  0.7546
Sm  0.6451  0.1451  0.5000
Sm  0.6451  0.6451  0.0000

=====

(8)
Here is crystalline LaTb4Sm3 at its relaxed geometry from Alexandria. Energies are from PBE.

Values from the calculation:
total moment = 0.007 μB per cell
mass density = 7.5 g/cm³
distance to the lowest polymorph of the same formula = 0 meV per atom
DOS(E_F) = 1.803 states/eV per atom

abc: 11.5982 7.3434 6.3317
angles: 90.00 90.00 90.00
Sites, in units of the cell vectors:
La  0.0000  0.1249  0.0000
La  0.5000  0.8751  0.5000
Tb  0.0000  0.3785  0.5027
Tb  0.0000  0.6230  0.0028
Tb  0.2488  0.6228  0.3364
Tb  0.2512  0.3772  0.8364
Tb  0.5000  0.3770  0.5028
Tb  0.5000  0.6215  0.0027
Tb  0.7488  0.3772  0.8364
Tb  0.7512  0.6228  0.3364
Sm  0.0000  0.8719  0.5029
Sm  0.2491  0.1277  0.3365
Sm  0.2509  0.8723  0.8365
Sm  0.5000  0.1281  0.0029
Sm  0.7491  0.8723  0.8365
Sm  0.7509  0.1277  0.3365

=====

(9)
Here is crystalline La6Tb3Sm at its relaxed geometry from Alexandria. Energies are from PBE.

Values from the calculation:
total moment = 0.000 μB per cell
mass density = 6.8 g/cm³
DOS(E_F) = 1.437 states/eV per atom

abc: 7.8205 9.5274 12.3250
angles: 90.00 129.36 90.00
Sites, in units of the cell vectors:
La  0.0775  0.1709  0.3291
La  0.0775  0.3291  0.8291
La  0.1319  0.1341  0.6313
La  0.1319  0.3659  0.1313
La  0.3652  0.6293  0.8663
La  0.3652  0.8707  0.3663
La  0.6348  0.1293  0.6337
La  0.6348  0.3707  0.1337
La  0.8681  0.6341  0.8687
La  0.8681  0.8659  0.3687
La  0.9225  0.6709  0.1709
La  0.9225  0.8291  0.6709
Tb  0.0000  0.0000  0.0000
Tb  0.0000  0.5000  0.5000
Tb  0.4167  0.6699  0.1687
Tb  0.4167  0.8301  0.6687
Tb  0.5833  0.1699  0.3313
Tb  0.5833  0.3301  0.8313
Sm  0.5000  0.0000  0.0000
Sm  0.5000  0.5000  0.5000

=====

Energy relative to the elements / eV per formula unit: 1.07; 1.66; 0.29; 5.88; 0.84; 0.21; 1.67; 0.23; 1.23
DFT total energy / hartree per atom: -0.1695; -0.1688; -0.1711; -0.1565; -0.1708; -0.1752; -0.1701; -0.1717; -0.1725